Density functional theory data (GGA-PBE) for crystalline AcSmEu at its relaxed geometry.

It has space group I4mm (No. 107), with a = 3.8684 Å, b = 3.8684 Å, c = 16.0170 Å, α = 90.00°, β = 90.00° and γ = 90.00°. Symmetry generates all atoms from Ac at (0.0000, 0.0000, 0.0000), Sm at (0.0000, 0.0000, 0.3426) and Eu at (0.0000, 0.0000, 0.6793).

The energy above the most stable polymorph in this dataset is 0 meV/atom.